(1)
Ta6Mo, relaxed, DFT GGA-PBEsol; energy of formation from the pure elements = -0.059 eV per atom; space group = C2/m, No. 12; total magnetic moment = 0.000 μB per cell
1.0
5.1461 -1.6202 0.0000
5.1461 1.6202 0.0000
-1.0539 0.0000 7.2440
Ta Mo
6 1
Direct
0.0715 0.0715 0.2225
0.2057 0.2057 0.6398
0.3571 0.3571 0.0662
0.6429 0.6429 0.9338
0.7943 0.7943 0.3602
0.9285 0.9285 0.7775
0.5000 0.5000 0.5000

---

(2)
Te2WIF, relaxed, DFT GGA-PBEsol; space group = P4/mmm, No. 123; total magnetic moment = 3.561 μB per cell; raw formation energy = 464 kJ/mol of formula units
1.0
4.5849 0.0000 0.0000
0.0000 4.5849 0.0000
0.0000 0.0000 5.8189
Te W I F
2 1 1 1
Direct
0.0000 0.5000 0.0000
0.5000 0.0000 0.0000
0.0000 0.0000 0.5000
0.5000 0.5000 0.5000
0.5000 0.5000 0.0000

---

| no. | calculated total energy (eV per atom) | D(E_F) (states/eV/cell) | calculated density (g/cm³) |
| --- | --- | --- | --- |
| 1 | -12.499 | 8.015 | 16.24 |
| 2 | -3.949 | 3.621 | 7.94 |